1.
# Tm2MnGaC

Crystalline Tm2MnGaC at its relaxed geometry (PBE, Alexandria via LeMat-Bulk).

a b c (Å): 4.841 4.841 3.730
angles (deg): 90.00 90.00 90.00
Fractional positions:
Tm 0.000 0.500 0.000
Tm 0.500 0.000 0.000
Mn 0.000 0.000 0.500
Ga 0.500 0.500 0.500
C 0.000 0.000 0.000

## Properties
- Energy of formation: -2.1 eV/f.u.
- Symmetry: No. 123

---

2.
# UMn2GaC

Crystalline UMn2GaC at its relaxed geometry (PBE, Alexandria via LeMat-Bulk).

a b c (Å): 3.881 3.881 4.979
angles (deg): 90.00 90.00 90.00
Fractional positions:
U 0.000 0.000 0.000
Mn 0.000 0.500 0.514
Mn 0.500 0.000 0.514
Ga 0.500 0.500 0.199
C 0.000 0.000 0.515

## Properties
- Energy of formation: 0.5 eV/f.u.
- Symmetry: No. 99

---

3.
# Mn2VGaC

Crystalline Mn2VGaC at its relaxed geometry (PBE, Alexandria via LeMat-Bulk).

a b c (Å): 3.807 3.807 4.078
angles (deg): 90.00 90.00 90.00
Fractional positions:
Mn 0.000 0.500 0.000
Mn 0.500 0.000 0.000
V 0.000 0.000 0.500
Ga 0.500 0.500 0.500
C 0.000 0.000 0.000

## Properties
- Energy of formation: -0.7 eV/f.u.
- Symmetry: No. 123

---

4.
# Mn6ZnGaC2

Crystalline Mn6ZnGaC2 at its relaxed geometry (PBE, Alexandria via LeMat-Bulk).

a b c (Å): 4.694 4.694 9.760
angles (deg): 90.00 90.00 90.00
Fractional positions:
Mn 0.000 0.000 0.247
Mn 0.000 0.000 0.753
Mn 0.000 0.500 0.000
Mn 0.000 0.500 0.500
Mn 0.500 0.000 0.000
Mn 0.500 0.000 0.500
Zn 0.000 0.000 0.000
Ga 0.000 0.000 0.500
C 0.500 0.500 0.432
C 0.500 0.500 0.568

## Properties
- Energy of formation: 14.1 eV/f.u.
- Symmetry: No. 123

---

5.
# Zr2MnGaC

Crystalline Zr2MnGaC at its relaxed geometry (PBE, Alexandria via LeMat-Bulk).

a b c (Å): 4.599 4.599 3.678
angles (deg): 90.00 90.00 90.00
Fractional positions:
Zr 0.000 0.500 0.000
Zr 0.500 0.000 0.000
Mn 0.000 0.000 0.500
Ga 0.500 0.500 0.500
C 0.000 0.000 0.000

## Properties
- Energy of formation: -2.1 eV/f.u.
- Symmetry: No. 123

---

6.
# GaMoC3

Crystalline GaMoC3 at its relaxed geometry (PBE, Alexandria via LeMat-Bulk).

a b c (Å): 3.856 3.856 3.856
angles (deg): 90.00 90.00 90.00
Fractional positions:
Ga 0.000 0.000 0.000
Mo 0.500 0.500 0.500
C 0.000 0.000 0.500
C 0.000 0.500 0.000
C 0.500 0.000 0.000

## Properties
- Distance to the lowest polymorph of the same formula: 862 meV per atom
- Energy of formation: 13.5 eV/f.u.
- Symmetry: No. 221

---

7.
# GaMo2C2

Crystalline GaMo2C2 at its relaxed geometry (PBE, Alexandria via LeMat-Bulk).

a b c (Å): 4.966 4.966 4.966
angles (deg): 131.24 131.24 71.42
Fractional positions:
Ga 0.000 0.000 0.000
Mo 0.250 0.750 0.500
Mo 0.750 0.250 0.500
C 0.309 0.309 0.000
C 0.691 0.691 0.000

## Properties
- Distance to the lowest polymorph of the same formula: 0 meV per atom
- Energy of formation: 2.8 eV/f.u.
- Symmetry: No. 139

---

8.
# GaMo2C2

Crystalline GaMo2C2 at its relaxed geometry (PBE, Alexandria via LeMat-Bulk).

a b c (Å): 6.180 6.180 2.878
angles (deg): 90.00 90.00 90.00
Fractional positions:
Ga 0.000 0.000 0.000
Ga 0.500 0.500 0.000
Mo 0.153 0.347 0.500
Mo 0.347 0.847 0.500
Mo 0.653 0.153 0.500
Mo 0.847 0.653 0.500
C 0.139 0.639 0.000
C 0.361 0.139 0.000
C 0.639 0.861 0.000
C 0.861 0.361 0.000

## Properties
- Distance to the lowest polymorph of the same formula: 19 meV per atom
- Energy of formation: 2.9 eV/f.u.
- Symmetry: No. 127

---

9.
# GaMoC3

Crystalline GaMoC3 at its relaxed geometry (PBE, Alexandria via LeMat-Bulk).

a b c (Å): 4.132 4.132 4.132
angles (deg): 90.00 90.00 90.00
Fractional positions:
Ga 0.000 0.000 0.000
Mo 0.500 0.500 0.500
C 0.000 0.500 0.500
C 0.500 0.000 0.500
C 0.500 0.500 0.000

## Properties
- Distance to the lowest polymorph of the same formula: 0 meV per atom
- Energy of formation: 9.2 eV/f.u.
- Symmetry: No. 221

---

10.
# GaMo6C

Crystalline GaMo6C at its relaxed geometry (PBE, Alexandria via LeMat-Bulk).

a b c (Å): 5.628 5.628 5.628
angles (deg): 58.94 58.94 58.94
Fractional positions:
Ga 0.000 0.000 0.000
Mo 0.061 0.495 0.696
Mo 0.304 0.939 0.505
Mo 0.495 0.696 0.061
Mo 0.505 0.304 0.939
Mo 0.696 0.061 0.495
Mo 0.939 0.505 0.304
C 0.500 0.500 0.500

## Properties
- Energy of formation: 3.0 eV/f.u.
- Symmetry: No. 148

---

11.
# Ga2Mo6C

Crystalline Ga2Mo6C at its relaxed geometry (PBE, Alexandria via LeMat-Bulk).

a b c (Å): 5.435 5.755 9.982
angles (deg): 90.00 121.23 90.00
Fractional positions:
Ga 0.172 0.090 0.250
Ga 0.172 0.410 0.750
Ga 0.828 0.590 0.250
Ga 0.828 0.910 0.750
Mo 0.158 0.187 0.985
Mo 0.158 0.313 0.485
Mo 0.298 0.682 0.988
Mo 0.298 0.818 0.488
Mo 0.325 0.523 0.237
Mo 0.325 0.977 0.737
Mo 0.675 0.023 0.263
Mo 0.675 0.477 0.763
Mo 0.702 0.182 0.512
Mo 0.702 0.318 0.012
Mo 0.842 0.687 0.515
Mo 0.842 0.813 0.015
C 0.500 0.000 0.000
C 0.500 0.500 0.500

## Properties
- Energy of formation: 0.8 eV/f.u.
- Symmetry: No. 14

---

12.
# Ga3MoC

Crystalline Ga3MoC at its relaxed geometry (PBE, Alexandria via LeMat-Bulk).

a b c (Å): 4.938 4.938 4.938
angles (deg): 90.00 90.00 90.00
Fractional positions:
Ga 0.000 0.000 0.500
Ga 0.000 0.500 0.000
Ga 0.500 0.000 0.000
Mo 0.000 0.000 0.000
C 0.500 0.500 0.500

## Properties
- Distance to the lowest polymorph of the same formula: 706 meV per atom
- Energy of formation: 8.8 eV/f.u.
- Symmetry: No. 221

---

13.
# Ga3MoC

Crystalline Ga3MoC at its relaxed geometry (PBE, Alexandria via LeMat-Bulk).

a b c (Å): 4.193 4.193 4.193
angles (deg): 90.00 90.00 90.00
Fractional positions:
Ga 0.000 0.000 0.500
Ga 0.000 0.500 0.000
Ga 0.500 0.000 0.000
Mo 0.500 0.500 0.500
C 0.000 0.000 0.000

## Properties
- Distance to the lowest polymorph of the same formula: 0 meV per atom
- Energy of formation: 5.2 eV/f.u.
- Symmetry: No. 221

---

14.
# Ga3Mo6C

Crystalline Ga3Mo6C at its relaxed geometry (PBE, Alexandria via LeMat-Bulk).

a b c (Å): 5.359 7.502 8.811
angles (deg): 90.00 121.94 90.00
Fractional positions:
Ga 0.000 0.000 0.000
Ga 0.000 0.500 0.500
Ga 0.295 0.073 0.847
Ga 0.295 0.427 0.347
Ga 0.705 0.573 0.653
Ga 0.705 0.927 0.153
Mo 0.133 0.137 0.481
Mo 0.133 0.363 0.981
Mo 0.228 0.716 0.857
Mo 0.228 0.784 0.357
Mo 0.459 0.133 0.276
Mo 0.459 0.367 0.776
Mo 0.541 0.633 0.224
Mo 0.541 0.867 0.724
Mo 0.772 0.216 0.643
Mo 0.772 0.284 0.143
Mo 0.867 0.637 0.019
Mo 0.867 0.863 0.519
C 0.500 0.000 0.500
C 0.500 0.500 0.000

## Properties
- Energy of formation: 0.8 eV/f.u.
- Symmetry: No. 14

---

15.
# GaNi2MoC

Crystalline GaNi2MoC at its relaxed geometry (PBE, Alexandria via LeMat-Bulk).

a b c (Å): 3.791 3.791 4.156
angles (deg): 90.00 90.00 90.00
Fractional positions:
Ga 0.000 0.000 0.000
Ni 0.000 0.500 0.500
Ni 0.500 0.000 0.500
Mo 0.500 0.500 0.000
C 0.500 0.500 0.500

## Properties
- Energy of formation: -0.4 eV/f.u.
- Symmetry: No. 123

---

16.
# Sc2GaMoC

Crystalline Sc2GaMoC at its relaxed geometry (PBE, Alexandria via LeMat-Bulk).

a b c (Å): 4.488 4.488 4.100
angles (deg): 90.00 90.00 90.00
Fractional positions:
Sc 0.000 0.500 0.000
Sc 0.500 0.000 0.000
Ga 0.000 0.000 0.500
Mo 0.500 0.500 0.500
C 0.500 0.500 0.000

## Properties
- Energy of formation: -2.2 eV/f.u.
- Symmetry: No. 123

---

17.
# GaSiMoC2

Crystalline GaSiMoC2 at its relaxed geometry (PBE, Alexandria via LeMat-Bulk).

a b c (Å): 4.005 4.005 5.207
angles (deg): 90.00 90.00 90.00
Fractional positions:
Ga 0.000 0.000 0.000
Si 0.500 0.500 0.000
Mo 0.000 0.000 0.500
C 0.000 0.500 0.500
C 0.500 0.000 0.500

## Properties
- ΔE_f (raw): 1.60 eV per atom
- Symmetry: No. 123

---

18.
# Ti2GaMoC

Crystalline Ti2GaMoC at its relaxed geometry (PBE, Alexandria via LeMat-Bulk).

a b c (Å): 4.206 4.206 4.079
angles (deg): 90.00 90.00 90.00
Fractional positions:
Ti 0.000 0.500 0.000
Ti 0.500 0.000 0.000
Ga 0.000 0.000 0.500
Mo 0.500 0.500 0.500
C 0.500 0.500 0.000

## Properties
- Energy of formation: -1.9 eV/f.u.
- Symmetry: No. 123

---

19.
# Tm2Ga2Mo2C

Crystalline Tm2Ga2Mo2C at its relaxed geometry (PBE, Alexandria via LeMat-Bulk).

a b c (Å): 5.928 5.928 7.399
angles (deg): 121.16 121.16 35.28
Fractional positions:
Tm 0.068 0.068 0.276
Tm 0.932 0.932 0.724
Ga 0.371 0.371 0.352
Ga 0.629 0.629 0.648
Mo 0.299 0.299 0.928
Mo 0.701 0.701 0.072
C 0.500 0.500 0.000

## Properties
- Energy of formation: -3.0 eV/f.u.
- Symmetry: No. 12

---

20.
# Ga2C3N6

Crystalline Ga2C3N6 at its relaxed geometry (PBE, Alexandria via LeMat-Bulk).

a b c (Å): 9.902 9.902 9.902
angles (deg): 33.35 33.35 33.35
Fractional positions:
Ga 0.164 0.164 0.164
Ga 0.336 0.336 0.336
Ga 0.664 0.664 0.664
Ga 0.836 0.836 0.836
C 0.059 0.750 0.441
C 0.250 0.559 0.941
C 0.441 0.059 0.750
C 0.559 0.941 0.250
C 0.750 0.441 0.059
C 0.941 0.250 0.559
N 0.039 0.649 0.434
N 0.066 0.851 0.461
N 0.149 0.539 0.934
N 0.351 0.566 0.961
N 0.434 0.039 0.649
N 0.461 0.066 0.851
N 0.539 0.934 0.149
N 0.566 0.961 0.351
N 0.649 0.434 0.039
N 0.851 0.461 0.066
N 0.934 0.149 0.539
N 0.961 0.351 0.566

## Properties
- Distance to the lowest polymorph of the same formula: 0 meV per atom
- ΔE_f (raw): 0.01 eV per atom
- Symmetry: No. 167

---

Number 1: calculated total energy -32.4 eV per cell. Number 2: calculated total energy -41.4 eV per cell. Number 3: calculated total energy -40.4 eV per cell. Number 4: calculated total energy -63.7 eV per cell. Number 5: calculated total energy -40.6 eV per cell. Number 6: calculated total energy -28.0 eV per cell. Number 7: calculated total energy -40.4 eV per cell. Number 8: calculated total energy -80.6 eV per cell. Number 9: calculated total energy -32.3 eV per cell. Number 10: calculated total energy -74.2 eV per cell. Number 11: calculated total energy -158.9 eV per cell. Number 12: calculated total energy -20.4 eV per cell. Number 13: calculated total energy -23.9 eV per cell. Number 14: calculated total energy -164.9 eV per cell. Number 15: calculated total energy -35.1 eV per cell. Number 16: calculated total energy -37.9 eV per cell. Number 17: calculated total energy -29.7 eV per cell. Number 18: calculated total energy -40.8 eV per cell. Number 19: calculated total energy -48.9 eV per cell. Number 20: calculated total energy -167.1 eV per cell.